(1)
A plane-wave DFT calculation with PBE-GGA was carried out for a geometry-optimized GdErN structure.

Cell: 4.248 4.248 4.248 Å, 60.00 60.00 60.00°
Element x y z (fractional)
1 Gd 0.000 0.000 0.000
2 Er 0.500 0.500 0.500
3 N 0.750 0.750 0.750

Output
The raw formation energy is -0.331 eV/atom. The calculation puts the density at 10.4 g/cm3.

***

(2)
A plane-wave DFT calculation with PBE-GGA was carried out for a geometry-optimized PuZrTa structure.

Cell: 7.158 7.158 7.158 Å, 154.90 154.90 35.79°
Element x y z (fractional)
1 Pu 0.000 0.000 0.000
2 Zr 0.314 0.314 0.000
3 Ta 0.660 0.660 0.000

Output
The formation energy comes out at 0.229 eV/atom. The calculation puts the density at 13.0 g/cm3.

***

(3)
A plane-wave DFT calculation with PBE-GGA was carried out for a geometry-optimized Ni7GeP2 structure.

Cell: 9.169 9.169 9.169 Å, 156.98 156.98 32.78°
Element x y z (fractional)
1 Ni 0.000 0.000 0.000
2 Ni 0.101 0.601 0.500
3 Ni 0.250 0.750 0.500
4 Ni 0.399 0.899 0.500
5 Ni 0.601 0.101 0.500
6 Ni 0.750 0.250 0.500
7 Ni 0.899 0.399 0.500
8 Ge 0.500 0.500 0.000
9 P 0.173 0.173 0.000
10 P 0.827 0.827 0.000

Output
The formation energy comes out at -0.427 eV/atom. The calculation puts the density at 7.7 g/cm3.

***

(4)
A plane-wave DFT calculation with PBE-GGA was carried out for a geometry-optimized Ho6S5N structure.

Cell: 6.613 6.613 6.642 Å, 99.53 99.53 120.15°
Element x y z (fractional)
1 Ho 0.075 0.381 0.226
2 Ho 0.232 0.232 0.770
3 Ho 0.381 0.075 0.226
4 Ho 0.619 0.925 0.774
5 Ho 0.768 0.768 0.230
6 Ho 0.925 0.619 0.774
7 S 0.172 0.828 0.500
8 S 0.333 0.667 0.000
9 S 0.500 0.500 0.500
10 S 0.667 0.333 0.000
11 S 0.828 0.172 0.500
12 N 0.000 0.000 0.000

Output
The raw formation energy is -1.916 eV/atom. The calculation puts the density at 8.2 g/cm3.